# RbNaAs3 (GGA-PBE, optimized geometry)
# DOS at the Fermi energy   1.53 states/eV per atom
# ΔH_f (0 K)   1.2427 eV/atom
# Energy   -2.0044 eV per atom
# Energy above the most stable polymorph in this dataset   1466 meV/atom
# Total magnetization   0.00 Bohr magnetons per cell
data_RbNaAs3
_cell_length_a 5.7847
_cell_length_b 5.7847
_cell_length_c 5.7847
_cell_angle_alpha 90.00
_cell_angle_beta 90.00
_cell_angle_gamma 90.00
_space_group_name_H-M_alt 'P m -3 m'
_space_group_IT_number 221
_space_group_name_Hall '-P 4 2 3'
loop_
_atom_site_label
_atom_site_type_symbol
_atom_site_fract_x
_atom_site_fract_y
_atom_site_fract_z
_atom_site_occupancy
Rb1 Rb 0.0000 0.0000 0.0000 1
Na1 Na 0.5000 0.5000 0.5000 1
As1 As 0.0000 0.0000 0.5000 1



# Rb3Na5As2 (GGA-PBE, optimized geometry)
# DOS at the Fermi energy   0.43 states/eV per atom
# ΔH_f (0 K)   -0.1838 eV/atom
# Energy   -2.0635 eV per atom
# Total magnetization   0.00 Bohr magnetons per cell
data_Rb3Na5As2
_cell_length_a 17.5853
_cell_length_b 14.2476
_cell_length_c 7.3733
_cell_angle_alpha 90.00
_cell_angle_beta 114.27
_cell_angle_gamma 90.00
_space_group_name_H-M_alt 'C 1 2/c 1'
_space_group_IT_number 15
_space_group_name_Hall '-C 2yc'
loop_
_atom_site_label
_atom_site_type_symbol
_atom_site_fract_x
_atom_site_fract_y
_atom_site_fract_z
_atom_site_occupancy
Rb1 Rb 0.0000 0.0000 0.2500 1
Rb2 Rb 0.1663 0.2291 0.1691 1
Na1 Na 0.0000 0.4990 0.2500 1
Na2 Na 0.0814 0.2987 0.5859 1
Na3 Na 0.2394 0.0006 0.9870 1
As1 As 0.1600 0.1264 0.6583 1



# Rb5NaAs2 (GGA-PBE, optimized geometry)
# DOS at the Fermi energy   0.97 states/eV per atom
# ΔH_f (0 K)   -0.2745 eV/atom
# Energy   -2.2065 eV per atom
# Total magnetization   0.00 Bohr magnetons per cell
data_Rb5NaAs2
_cell_length_a 10.7215
_cell_length_b 6.1905
_cell_length_c 21.1672
_cell_angle_alpha 90.00
_cell_angle_beta 90.03
_cell_angle_gamma 90.00
_space_group_name_H-M_alt 'C 1 2/m 1'
_space_group_IT_number 12
_space_group_name_Hall '-C 2y'
loop_
_atom_site_label
_atom_site_type_symbol
_atom_site_fract_x
_atom_site_fract_y
_atom_site_fract_z
_atom_site_occupancy
Rb1 Rb 0.0002 0.0000 0.1280 1
Rb2 Rb 0.0000 0.0000 0.3721 1
Rb3 Rb 0.1668 0.5000 0.0500 1
Rb4 Rb 0.1668 0.5000 0.2501 1
Rb5 Rb 0.1665 0.5000 0.4500 1
Na1 Na 0.1666 0.5000 0.7500 1
As1 As 0.1664 0.5000 0.8820 1
As2 As 0.1669 0.5000 0.6181 1



# RbNaAs3 (GGA-PBE, optimized geometry)
# DOS at the Fermi energy   0.81 states/eV per atom
# ΔH_f (0 K)   0.5395 eV/atom
# Energy   -2.7075 eV per atom
# Energy above the most stable polymorph in this dataset   763 meV/atom
# Total magnetization   0.00 Bohr magnetons per cell
data_RbNaAs3
_cell_length_a 5.2647
_cell_length_b 5.2647
_cell_length_c 5.2647
_cell_angle_alpha 90.00
_cell_angle_beta 90.00
_cell_angle_gamma 90.00
_space_group_name_H-M_alt 'P m -3 m'
_space_group_IT_number 221
_space_group_name_Hall '-P 4 2 3'
loop_
_atom_site_label
_atom_site_type_symbol
_atom_site_fract_x
_atom_site_fract_y
_atom_site_fract_z
_atom_site_occupancy
Rb1 Rb 0.0000 0.0000 0.0000 1
Na1 Na 0.5000 0.5000 0.5000 1
As1 As 0.0000 0.5000 0.5000 1



# RbNaAs (GGA-PBE, optimized geometry)
# DOS at the Fermi energy   0.55 states/eV per atom
# ΔH_f (0 K)   -0.2702 eV/atom
# Energy   -2.5822 eV per atom
# Energy above the most stable polymorph in this dataset   0 meV/atom
# Total magnetization   0.00 Bohr magnetons per cell
data_RbNaAs
_cell_length_a 4.6558
_cell_length_b 7.0770
_cell_length_c 13.5212
_cell_angle_alpha 90.00
_cell_angle_beta 90.00
_cell_angle_gamma 90.00
_space_group_name_H-M_alt 'I m m m'
_space_group_IT_number 71
_space_group_name_Hall '-I 2 2'
loop_
_atom_site_label
_atom_site_type_symbol
_atom_site_fract_x
_atom_site_fract_y
_atom_site_fract_z
_atom_site_occupancy
Rb1 Rb 0.0000 0.0000 0.2103 1
Na1 Na 0.0000 0.2076 0.5000 1
As1 As 0.0000 0.5000 0.0948 1



# Rb2NaAs2 (GGA-PBE, optimized geometry)
# DOS at the Fermi energy   0.36 states/eV per atom
# ΔH_f (0 K)   -0.0726 eV/atom
# Energy   -2.5833 eV per atom
# Energy above the most stable polymorph in this dataset   261 meV/atom
# Total magnetization   2.06 Bohr magnetons per cell
data_Rb2NaAs2
_cell_length_a 5.2227
_cell_length_b 5.2227
_cell_length_c 14.0350
_cell_angle_alpha 90.00
_cell_angle_beta 90.00
_cell_angle_gamma 90.00
_space_group_name_H-M_alt 'I 4/m m m'
_space_group_IT_number 139
_space_group_name_Hall '-I 4 2'
loop_
_atom_site_label
_atom_site_type_symbol
_atom_site_fract_x
_atom_site_fract_y
_atom_site_fract_z
_atom_site_occupancy
Rb1 Rb 0.0000 0.5000 0.2500 1
Na1 Na 0.0000 0.0000 0.0000 1
As1 As 0.0000 0.0000 0.4149 1